VASP calculation (GGA-PBE) on crystalline LiMnGa3 at its relaxed geometry.

Lattice parameters (Å, degrees): 4.623 4.623 4.623 90.00 90.00 90.00
Positions (direct):
Li  0.000  0.000  0.000
Mn  0.500  0.500  0.500
Ga  0.000  0.500  0.500
Ga  0.500  0.000  0.500
Ga  0.500  0.500  0.000

Values from the calculation:
Symmetry: Pm-3m (221)
Total magnetization, μB/cell: 0.5
Energy of formation from the pure elements, meV per atom: -26

VASP calculation (GGA-PBE) on crystalline Ca2Cu2Sn3 at its relaxed geometry.

Lattice parameters (Å, degrees): 5.878 5.878 7.695 112.35 112.35 42.48
Positions (direct):
Ca  0.148  0.148  0.294
Ca  0.852  0.852  0.706
Cu  0.146  0.146  0.736
Cu  0.854  0.854  0.264
Sn  0.376  0.376  0.049
Sn  0.500  0.500  0.500
Sn  0.624  0.624  0.951

Values from the calculation:
Symmetry: C2/m (12)
Total magnetization, μB/cell: 0.0
Energy of formation from the pure elements, meV per atom: -329

VASP calculation (GGA-PBE) on crystalline Al2RuRhF at its relaxed geometry.

Lattice parameters (Å, degrees): 4.784 4.784 4.586 90.00 90.00 90.00
Positions (direct):
Al  0.000  0.500  0.000
Al  0.500  0.000  0.000
Ru  0.000  0.000  0.000
Rh  0.000  0.000  0.500
F  0.500  0.500  0.500

Values from the calculation:
Raw formation energy, eV/atom: 0.2419
Symmetry: P4/mmm (123)
Total magnetization, μB/cell: 0.0

VASP calculation (GGA-PBE) on crystalline TaMo2As at its relaxed geometry.

Lattice parameters (Å, degrees): 5.295 5.295 5.295 143.50 132.42 61.42
Positions (direct):
Ta  0.000  0.000  0.000
Mo  0.248  0.748  0.500
Mo  0.752  0.252  0.500
As  0.500  0.500  0.000

Values from the calculation:
Symmetry: Immm (71)
Total magnetization, μB/cell: 0.0
Energy of formation from the pure elements, meV per atom: -3

VASP calculation (GGA-PBE) on crystalline Fe2HgAs at its relaxed geometry.

Lattice parameters (Å, degrees): 4.309 4.309 4.309 60.00 60.00 60.00
Positions (direct):
Fe  0.250  0.250  0.250
Fe  0.750  0.750  0.750
Hg  0.000  0.000  0.000
As  0.500  0.500  0.500

Values from the calculation:
Symmetry: Fm-3m (225)
Total magnetization, μB/cell: 0.0
Energy of formation from the pure elements, meV per atom: 604

VASP calculation (GGA-PBE) on crystalline Ba8ZnCd2 at its relaxed geometry.

Lattice parameters (Å, degrees): 9.383 9.383 7.372 101.17 101.17 111.95
Positions (direct):
Ba  0.000  0.000  0.000
Ba  0.018  0.281  0.568
Ba  0.145  0.557  0.182
Ba  0.281  0.018  0.568
Ba  0.434  0.694  0.787
Ba  0.557  0.145  0.182
Ba  0.694  0.434  0.787
Ba  0.706  0.706  0.371
Zn  0.355  0.355  0.395
Cd  0.044  0.672  0.683
Cd  0.672  0.044  0.683

Values from the calculation:
Symmetry: Cm (8)
Total magnetization, μB/cell: 0.0
Energy of formation from the pure elements, meV per atom: -69

VASP calculation (GGA-PBE) on crystalline Y2Zn5Co4 at its relaxed geometry.

Lattice parameters (Å, degrees): 6.418 6.418 7.687 123.71 123.71 47.36
Positions (direct):
Y  0.236  0.236  0.304
Y  0.764  0.764  0.696
Zn  0.215  0.719  0.248
Zn  0.281  0.785  0.752
Zn  0.500  0.500  0.000
Zn  0.719  0.215  0.248
Zn  0.785  0.281  0.752
Co  0.126  0.126  0.581
Co  0.267  0.267  0.946
Co  0.733  0.733  0.054
Co  0.874  0.874  0.419

Values from the calculation:
Symmetry: C2/m (12)
Total magnetization, μB/cell: 3.4
Energy of formation from the pure elements, meV per atom: -93

VASP calculation (GGA-PBE) on crystalline PmErTm2 at its relaxed geometry.

Lattice parameters (Å, degrees): 11.597 11.597 11.597 17.64 17.64 17.64
Positions (direct):
Pm  0.000  0.000  0.000
Er  0.166  0.166  0.166
Tm  0.581  0.581  0.581
Tm  0.751  0.751  0.751

Values from the calculation:
Symmetry: R3m (160)
Total magnetization, μB/cell: 0.0
Energy of formation from the pure elements, meV per atom: 21

VASP calculation (GGA-PBE) on crystalline Y11Hg9Pt4 at its relaxed geometry.

Lattice parameters (Å, degrees): 13.177 13.177 3.661 90.00 90.00 113.03
Positions (direct):
Y  0.000  0.000  0.000
Y  0.076  0.414  0.000
Y  0.166  0.834  0.000
Y  0.299  0.299  0.000
Y  0.370  0.630  0.000
Y  0.414  0.076  0.000
Y  0.586  0.924  0.000
Y  0.630  0.370  0.000
Y  0.701  0.701  0.000
Y  0.834  0.166  0.000
Y  0.924  0.586  0.000
Hg  0.062  0.211  0.500
Hg  0.151  0.632  0.500
Hg  0.211  0.062  0.500
Hg  0.368  0.849  0.500
Hg  0.500  0.500  0.500
Hg  0.632  0.151  0.500
Hg  0.789  0.938  0.500
Hg  0.849  0.368  0.500
Hg  0.938  0.789  0.500
Pt  0.250  0.449  0.500
Pt  0.449  0.250  0.500
Pt  0.551  0.750  0.500
Pt  0.750  0.551  0.500

Values from the calculation:
Symmetry: Cmmm (65)
Total magnetization, μB/cell: 0.0
Energy of formation from the pure elements, meV per atom: -761

VASP calculation (GGA-PBE) on crystalline Re2NiAu at its relaxed geometry.

Lattice parameters (Å, degrees): 4.702 4.702 4.702 130.78 130.78 72.17
Positions (direct):
Re  0.000  0.000  0.000
Re  0.750  0.250  0.500
Ni  0.500  0.500  0.000
Au  0.250  0.750  0.500

Values from the calculation:
Symmetry: I-4m2 (119)
Total magnetization, μB/cell: 0.0
Energy of formation from the pure elements, meV per atom: 296

VASP calculation (GGA-PBE) on crystalline DyH5Os at its relaxed geometry.

Lattice parameters (Å, degrees): 4.825 4.825 4.825 115.77 82.71 133.81
Positions (direct):
Dy  0.000  0.000  0.000
H  0.115  0.833  0.282
H  0.495  0.320  0.824
H  0.495  0.671  0.176
H  0.551  0.833  0.718
H  0.968  0.468  0.500
Os  0.471  0.971  0.500

Values from the calculation:
E, eV per cell: -33.68
Symmetry: Imm2 (44)
Total magnetization, μB/cell: 0.0

VASP calculation (GGA-PBE) on crystalline SrCd at its relaxed geometry.

Lattice parameters (Å, degrees): 5.312 5.312 5.312 60.00 60.00 60.00
Positions (direct):
Sr  0.000  0.000  0.000
Cd  0.250  0.250  0.250

Values from the calculation:
Symmetry: F-43m (216)
Total magnetization, μB/cell: 0.0
Energy of formation from the pure elements, meV per atom: 249

Number 1: calculated volume 19.8 A^3/atom. Number 2: calculated volume 23.4 A^3/atom. Number 3: calculated volume 21.0 A^3/atom. Number 4: calculated volume 16.1 A^3/atom. Number 5: calculated volume 14.1 A^3/atom. Number 6: calculated volume 51.3 A^3/atom. Number 7: calculated volume 16.8 A^3/atom. Number 8: calculated volume 31.2 A^3/atom. Number 9: calculated volume 24.4 A^3/atom. Number 10: calculated volume 14.6 A^3/atom. Number 11: calculated volume 10.0 A^3/atom. Number 12: calculated volume 53.0 A^3/atom.